Entry 1:
Material: Li7MgAu4
Method: DFT, PBE
State: optimized geometry

Values from the calculation:
The formation energy is -373 kJ/mol of formula units. The density of states at the Fermi level comes out at 4.3 states/eV per cell. As for the total DFT energy (no corrections): -2.66 eV per atom.

Cell lengths 6.857, 6.857, 8.459 Å; angles 122.34, 122.34, 40.40 degrees
Positions (direct):
Li 0.000 0.000 0.000
Li 0.220 0.220 0.672
Li 0.285 0.285 0.121
Li 0.434 0.434 0.599
Li 0.566 0.566 0.401
Li 0.715 0.715 0.879
Li 0.780 0.780 0.328
Mg 0.500 0.500 0.000
Au 0.065 0.065 0.769
Au 0.189 0.189 0.341
Au 0.811 0.811 0.659
Au 0.935 0.935 0.231

Entry 2:
Material: TaSi2Pt
Method: DFT, PBE
State: optimized geometry

Values from the calculation:
Its formation energy from raw total energies is -0.76 eV per formula unit. The density of states at the Fermi level comes out at 2.8 states/eV per cell. As for the total DFT energy (no corrections): -7.37 eV per atom.

Cell lengths 4.372, 4.372, 4.372 Å; angles 60.00, 60.00, 60.00 degrees
Positions (direct):
Ta 0.000 0.000 0.000
Si 0.250 0.250 0.250
Si 0.750 0.750 0.750
Pt 0.500 0.500 0.500

Entry 3:
Material: AsPtW2I
Method: DFT, PBE
State: optimized geometry

Values from the calculation:
Its formation energy from raw total energies is 12.54 eV per formula unit. The density of states at the Fermi level comes out at 5.2 states/eV per cell. As for the total DFT energy (no corrections): -5.12 eV per atom.

Cell lengths 4.966, 4.966, 4.896 Å; angles 90.00, 90.00, 90.00 degrees
Positions (direct):
As 0.000 0.000 0.000
Pt 0.500 0.500 0.000
W 0.000 0.500 0.500
W 0.500 0.000 0.500
I 0.500 0.500 0.500

Entry 4:
Material: MnNi6Os
Method: DFT, PBE
State: optimized geometry

Values from the calculation:
The formation energy is 24 kJ/mol of formula units. The density of states at the Fermi level comes out at 40.4 states/eV per cell. As for the total DFT energy (no corrections): -6.85 eV per atom.

Cell lengths 6.234, 6.234, 10.179 Å; angles 90.00, 90.00, 109.36 degrees
Positions (direct):
Mn 0.000 0.000 0.247
Mn 0.000 0.000 0.753
Mn 0.249 0.751 0.000
Mn 0.751 0.249 0.000
Ni 0.000 0.000 0.000
Ni 0.000 0.000 0.500
Ni 0.126 0.376 0.125
Ni 0.126 0.376 0.875
Ni 0.126 0.377 0.375
Ni 0.126 0.377 0.625
Ni 0.251 0.749 0.251
Ni 0.251 0.749 0.749
Ni 0.376 0.126 0.125
Ni 0.376 0.126 0.875
Ni 0.377 0.126 0.375
Ni 0.377 0.126 0.625
Ni 0.500 0.500 0.000
Ni 0.500 0.500 0.500
Ni 0.623 0.874 0.375
Ni 0.623 0.874 0.625
Ni 0.624 0.874 0.125
Ni 0.624 0.874 0.875
Ni 0.749 0.251 0.251
Ni 0.749 0.251 0.749
Ni 0.874 0.623 0.375
Ni 0.874 0.623 0.625
Ni 0.874 0.624 0.125
Ni 0.874 0.624 0.875
Os 0.247 0.753 0.500
Os 0.500 0.500 0.246
Os 0.500 0.500 0.754
Os 0.753 0.247 0.500

Entry 5:
Material: FeCo3
Method: DFT, PBE
State: optimized geometry

Values from the calculation:
The formation energy is 15 kJ/mol of formula units. The density of states at the Fermi level comes out at 4.5 states/eV per cell. As for the total DFT energy (no corrections): -7.41 eV per atom.

Cell lengths 2.495, 4.098, 4.328 Å; angles 90.00, 90.00, 90.00 degrees
Positions (direct):
Fe 0.000 0.000 0.000
Co 0.000 0.500 0.663
Co 0.500 0.000 0.501
Co 0.500 0.500 0.168

Entry 6:
Material: KGe2SbS6
Method: DFT, PBE
State: optimized geometry

Values from the calculation:
Its formation energy from raw total energies is -3.99 eV per formula unit. As for the total DFT energy (no corrections): -4.32 eV per atom.

Cell lengths 9.397, 9.397, 6.890 Å; angles 111.05, 111.05, 80.15 degrees
Positions (direct):
K 0.162 0.838 0.750
K 0.838 0.162 0.250
Ge 0.140 0.324 0.815
Ge 0.324 0.140 0.315
Ge 0.676 0.860 0.685
Ge 0.860 0.676 0.185
Sb 0.281 0.719 0.250
Sb 0.719 0.281 0.750
S 0.084 0.570 0.319
S 0.118 0.191 0.025
S 0.191 0.118 0.525
S 0.327 0.485 0.945
S 0.430 0.916 0.181
S 0.485 0.327 0.445
S 0.515 0.673 0.555
S 0.570 0.084 0.819
S 0.673 0.515 0.055
S 0.809 0.882 0.475
S 0.882 0.809 0.975
S 0.916 0.430 0.681

Entry 7:
Material: YBe4GaIr2
Method: DFT, PBE
State: optimized geometry

Values from the calculation:
The formation energy is -265 kJ/mol of formula units. The density of states at the Fermi level comes out at 4.5 states/eV per cell. As for the total DFT energy (no corrections): -5.61 eV per atom.

Cell lengths 8.390, 8.390, 8.390 Å; angles 27.14, 27.14, 27.14 degrees
Positions (direct):
Y 0.000 0.000 0.000
Be 0.122 0.122 0.122
Be 0.406 0.406 0.406
Be 0.594 0.594 0.594
Be 0.878 0.878 0.878
Ga 0.500 0.500 0.500
Ir 0.230 0.230 0.230
Ir 0.770 0.770 0.770

Entry 8:
Material: CaNd8Ho4
Method: DFT, PBE
State: optimized geometry

Values from the calculation:
The formation energy is 48 kJ/mol of formula units. The density of states at the Fermi level comes out at 19.1 states/eV per cell. As for the total DFT energy (no corrections): -4.46 eV per atom.

Cell lengths 6.311, 6.311, 15.024 Å; angles 93.72, 93.72, 48.27 degrees
Positions (direct):
Ca 0.000 0.000 0.000
Nd 0.076 0.076 0.766
Nd 0.234 0.234 0.310
Nd 0.307 0.307 0.080
Nd 0.460 0.460 0.614
Nd 0.540 0.540 0.386
Nd 0.693 0.693 0.920
Nd 0.766 0.766 0.690
Nd 0.924 0.924 0.234
Ho 0.152 0.152 0.537
Ho 0.379 0.379 0.841
Ho 0.621 0.621 0.159
Ho 0.848 0.848 0.463

The highest total DFT energy (no corrections) belongs to which entry? Li7MgAu4

Copy entry 6 word for word.
Material: KGe2SbS6
Method: DFT, PBE
State: optimized geometry

Values from the calculation:
Its formation energy from raw total energies is -3.99 eV per formula unit. As for the total DFT energy (no corrections): -4.32 eV per atom.

Cell lengths 9.397, 9.397, 6.890 Å; angles 111.05, 111.05, 80.15 degrees
Positions (direct):
K 0.162 0.838 0.750
K 0.838 0.162 0.250
Ge 0.140 0.324 0.815
Ge 0.324 0.140 0.315
Ge 0.676 0.860 0.685
Ge 0.860 0.676 0.185
Sb 0.281 0.719 0.250
Sb 0.719 0.281 0.750
S 0.084 0.570 0.319
S 0.118 0.191 0.025
S 0.191 0.118 0.525
S 0.327 0.485 0.945
S 0.430 0.916 0.181
S 0.485 0.327 0.445
S 0.515 0.673 0.555
S 0.570 0.084 0.819
S 0.673 0.515 0.055
S 0.809 0.882 0.475
S 0.882 0.809 0.975
S 0.916 0.430 0.681